[1]
{
  "formula": "TaRe2Ir",
  "functional": "PBE",
  "state": "relaxed",
  "rho_g_cm3": 19.67,
  "magnetic_moment_mub_per_cell": 0.00,
  "e_tot_ry_per_atom": -0.841,
  "spacegroup": "No. 10",
  "crystal_system": "monoclinic",
  "formation_energy_ev_per_atom": -0.04,
  "lattice_angstrom": [[2.772, 0.000, 0.000], [0.000, 3.945, 0.000], [-0.058, 0.000, 5.756]],
  "species": ["Ta", "Re", "Re", "Ir"],
  "frac_coords": [[0.000, 0.000, 0.000], [0.494, 0.500, 0.270], [0.506, 0.500, 0.730], [0.000, 0.000, 0.500]]
}


[2]
{
  "formula": "Nb2ZnAu2",
  "functional": "PBE",
  "state": "relaxed",
  "rho_g_cm3": 11.45,
  "magnetic_moment_mub_per_cell": 0.00,
  "e_tot_ry_per_atom": -0.397,
  "spacegroup": "No. 127",
  "crystal_system": "tetragonal",
  "formation_energy_ev_per_atom": 0.19,
  "lattice_angstrom": [[7.709, 0.000, 0.000], [0.000, 7.709, 0.000], [0.000, 0.000, 3.148]],
  "species": ["Nb", "Nb", "Nb", "Nb", "Zn", "Zn", "Au", "Au", "Au", "Au"],
  "frac_coords": [[0.172, 0.328, 0.000], [0.328, 0.828, 0.000], [0.672, 0.172, 0.000], [0.828, 0.672, 0.000], [0.000, 0.000, 0.500], [0.500, 0.500, 0.500], [0.127, 0.627, 0.500], [0.373, 0.127, 0.500], [0.627, 0.873, 0.500], [0.873, 0.373, 0.500]]
}


[3]
{
  "formula": "Na8Sn2Sb",
  "functional": "PBE",
  "state": "relaxed",
  "rho_g_cm3": 2.89,
  "magnetic_moment_mub_per_cell": 0.00,
  "e_tot_ry_per_atom": -0.167,
  "spacegroup": "No. 12",
  "crystal_system": "monoclinic",
  "e_form_raw_ev_per_atom": -0.21,
  "lattice_angstrom": [[8.770, -2.494, 0.000], [8.770, 2.494, 0.000], [-1.395, 0.000, 7.146]],
  "species": ["Na", "Na", "Na", "Na", "Na", "Na", "Na", "Na", "Sn", "Sn", "Sb"],
  "frac_coords": [[0.045, 0.045, 0.251], [0.139, 0.139, 0.688], [0.321, 0.321, 0.583], [0.400, 0.400, 0.064], [0.600, 0.600, 0.936], [0.679, 0.679, 0.417], [0.861, 0.861, 0.312], [0.955, 0.955, 0.749], [0.221, 0.221, 0.122], [0.779, 0.779, 0.878], [0.500, 0.500, 0.500]]
}


[4]
{
  "formula": "UTeO6",
  "functional": "PBE",
  "state": "relaxed",
  "rho_g_cm3": 6.39,
  "magnetic_moment_mub_per_cell": 0.00,
  "e_tot_ry_per_atom": -0.539,
  "spacegroup": "No. 12",
  "crystal_system": "monoclinic",
  "e_form_raw_ev_per_atom": -1.80,
  "lattice_angstrom": [[5.131, 0.000, 0.000], [0.000, 9.383, 0.000], [-1.114, 0.000, 4.987]],
  "species": ["U", "U", "Te", "Te", "O", "O", "O", "O", "O", "O", "O", "O", "O", "O", "O", "O"],
  "frac_coords": [[0.000, 0.000, 0.000], [0.500, 0.500, 0.000], [0.000, 0.500, 0.500], [0.500, 0.000, 0.500], [0.225, 0.363, 0.734], [0.225, 0.637, 0.734], [0.249, 0.000, 0.741], [0.251, 0.500, 0.259], [0.275, 0.137, 0.266], [0.275, 0.863, 0.266], [0.725, 0.137, 0.734], [0.725, 0.863, 0.734], [0.749, 0.500, 0.741], [0.751, 0.000, 0.259], [0.775, 0.363, 0.266], [0.775, 0.637, 0.266]]
}


[5]
{
  "formula": "Li2SmInSe4",
  "functional": "PBE",
  "state": "relaxed",
  "rho_g_cm3": 5.31,
  "magnetic_moment_mub_per_cell": 0.00,
  "e_tot_ry_per_atom": -0.321,
  "spacegroup": "No. 10",
  "crystal_system": "monoclinic",
  "e_form_raw_ev_per_atom": -1.21,
  "lattice_angstrom": [[6.944, 0.000, 0.000], [0.000, 4.062, 0.000], [-2.331, 0.000, 6.596]],
  "species": ["Li", "Li", "Sm", "In", "Se", "Se", "Se", "Se"],
  "frac_coords": [[0.000, 0.000, 0.000], [0.000, 0.500, 0.500], [0.500, 0.000, 0.500], [0.500, 0.500, 0.000], [0.238, 0.500, 0.245], [0.252, 0.000, 0.768], [0.748, 0.000, 0.232], [0.762, 0.500, 0.755]]
}


[6]
{
  "formula": "TaNiPb2",
  "functional": "PBE",
  "state": "relaxed",
  "rho_g_cm3": 13.24,
  "magnetic_moment_mub_per_cell": 0.00,
  "e_tot_ry_per_atom": -0.421,
  "spacegroup": "No. 166",
  "crystal_system": "trigonal",
  "formation_energy_ev_per_atom": 0.53,
  "lattice_angstrom": [[3.213, 0.000, 0.000], [-1.606, 2.782, 0.000], [0.000, 0.000, 27.526]],
  "species": ["Ta", "Ta", "Ta", "Ni", "Ni", "Ni", "Pb", "Pb", "Pb", "Pb", "Pb", "Pb"],
  "frac_coords": [[0.000, 0.000, 0.000], [0.333, 0.667, 0.667], [0.667, 0.333, 0.333], [0.000, 0.000, 0.500], [0.333, 0.667, 0.167], [0.667, 0.333, 0.833], [0.000, 0.000, 0.241], [0.000, 0.000, 0.759], [0.333, 0.667, 0.425], [0.333, 0.667, 0.908], [0.667, 0.333, 0.092], [0.667, 0.333, 0.575]]
}


[7]
{
  "formula": "MgCoIr2",
  "functional": "PBE",
  "state": "relaxed",
  "rho_g_cm3": 13.55,
  "magnetic_moment_mub_per_cell": 3.52,
  "e_tot_ry_per_atom": -0.480,
  "spacegroup": "No. 160",
  "crystal_system": "trigonal",
  "formation_energy_ev_per_atom": 0.08,
  "lattice_angstrom": [[2.754, 0.000, 0.000], [-1.377, 2.385, 0.000], [0.000, 0.000, 26.172]],
  "species": ["Mg", "Mg", "Mg", "Co", "Co", "Co", "Ir", "Ir", "Ir", "Ir", "Ir", "Ir"],
  "frac_coords": [[0.000, 0.000, 0.000], [0.333, 0.667, 0.667], [0.667, 0.333, 0.333], [0.000, 0.000, 0.249], [0.333, 0.667, 0.916], [0.667, 0.333, 0.583], [0.000, 0.000, 0.506], [0.000, 0.000, 0.754], [0.333, 0.667, 0.173], [0.333, 0.667, 0.420], [0.667, 0.333, 0.087], [0.667, 0.333, 0.839]]
}


[8]
{
  "formula": "AcGd2Al",
  "functional": "PBE",
  "state": "relaxed",
  "rho_g_cm3": 7.60,
  "magnetic_moment_mub_per_cell": 14.69,
  "e_tot_ry_per_atom": -0.674,
  "spacegroup": "No. 123",
  "crystal_system": "tetragonal",
  "formation_energy_ev_per_atom": -0.16,
  "lattice_angstrom": [[3.675, 0.000, 0.000], [0.000, 3.675, 0.000], [0.000, 0.000, 9.193]],
  "species": ["Ac", "Gd", "Gd", "Al"],
  "frac_coords": [[0.000, 0.000, 0.000], [0.500, 0.500, 0.301], [0.500, 0.500, 0.699], [0.000, 0.000, 0.500]]
}